Material: AlPd4Au5
Method: DFT, PBE
State: optimized geometry

Unit cell a=7.418 b=7.418 c=6.771 alpha=116.27 beta=116.27 gamma=32.29
Fractional positions:
Al 0.000 0.000 0.000
Pd 0.170 0.170 0.394
Pd 0.483 0.483 0.777
Pd 0.517 0.517 0.223
Pd 0.830 0.830 0.606
Au 0.000 0.000 0.500
Au 0.307 0.307 0.873
Au 0.345 0.345 0.316
Au 0.655 0.655 0.684
Au 0.693 0.693 0.127

Properties
As for the magnetic moment: 0.00 μB/cell. As for the formation energy: -179 kJ/mol of formula units. The calculation puts the density of states at the Fermi level at 4.151 states/eV/cell. As for the space-group type: C2/m.